# 1
A plane-wave DFT calculation with PBE was carried out for an optimized crystal structure of TbHo6In2.

The space group is C2/m (No. 12) and the conventional cell measures 12.664, 3.721 and 11.882 Å, with angles of 90.00, 108.06 and 90.00 degrees. The asymmetric unit holds Tb at (0.000, 0.000, 0.000), Ho at (0.015, 0.000, 0.343), Ho at (0.184, 0.500, 0.876), Ho at (0.190, 0.500, 0.584) and In at (0.144, 0.500, 0.208).

The total DFT energy (no corrections) is -78.81 eV for the cell shown. Its energy above the most stable polymorph in this dataset is 0.0 meV/atom. As for the formation energy from the elements: -0.203 eV/atom.


# 2
A plane-wave DFT calculation with PBE was carried out for an optimized crystal structure of TbHo2In2.

The space group is P2_1/m (No. 11) and the conventional cell measures 3.739, 5.338 and 13.961 Å, with angles of 90.00, 97.71 and 90.00 degrees. The asymmetric unit holds Tb at (0.148, 0.250, 0.298), Ho at (0.048, 0.750, 0.096), Ho at (0.237, 0.750, 0.474), In at (0.357, 0.250, 0.713) and In at (0.450, 0.750, 0.901).

The total DFT energy (no corrections) is -42.31 eV for the cell shown. Its energy above the most stable polymorph in this dataset is 0.0 meV/atom. As for the formation energy from the elements: -0.379 eV/atom.


# 3
A plane-wave DFT calculation with PBE was carried out for an optimized crystal structure of Tb12Ho6In.

The space group is R-3 (No. 148, hexagonal axes) and the conventional cell measures 11.8252, 11.8252 and 14.9630 Å, with angles of 90.00, 90.00 and 120.00 degrees. The asymmetric unit holds Tb at (0.0029, 0.8269, 0.3138), Tb at (0.0454, 0.1965, 0.9155), Ho at (0.0198, 0.5904, 0.1871) and In at (0.0000, 0.0000, 0.5000).

The total DFT energy (no corrections) is -253.20 eV for the cell shown. As for the formation energy from the elements: 0.072 eV/atom.


# 4
A plane-wave DFT calculation with PBE was carried out for an optimized crystal structure of TbHo2In3.

The space group is P4/mmm (No. 123) and the conventional cell measures 3.673, 3.673 and 11.764 Å, with angles of 90.00, 90.00 and 90.00 degrees. The asymmetric unit holds Tb at (0.000, 0.000, 0.000), Ho at (0.000, 0.000, 0.335), In at (0.500, 0.500, 0.169) and In at (0.500, 0.500, 0.500).

The total DFT energy (no corrections) is -24.77 eV for the cell shown. As for the formation energy from the elements: -0.461 eV/atom.


# 5
A plane-wave DFT calculation with PBE was carried out for an optimized crystal structure of Tb3HoIn2.

The space group is Pmc2_1 (No. 26) and the conventional cell measures 5.195, 9.845 and 6.722 Å, with angles of 90.00, 90.00 and 90.00 degrees. The asymmetric unit holds Tb at (0.000, 0.036, 0.000), Tb at (0.000, 0.320, 0.348), Tb at (0.500, 0.182, 0.723), Ho at (0.500, 0.463, 0.070), In at (0.000, 0.358, 0.826) and In at (0.500, 0.143, 0.245).

The total DFT energy (no corrections) is -52.19 eV for the cell shown. Its energy above the most stable polymorph in this dataset is 0.0 meV/atom. As for the formation energy from the elements: -0.358 eV/atom.


# 6
A plane-wave DFT calculation with PBE was carried out for an optimized crystal structure of Tb4Ho3In4.

The space group is Immm (No. 71) and the conventional cell measures 3.622, 9.411 and 18.877 Å, with angles of 90.00, 90.00 and 90.00 degrees. The asymmetric unit holds Tb at (0.000, 0.185, 0.162), Ho at (0.000, 0.000, 0.404), Ho at (0.000, 0.500, 0.500), In at (0.000, 0.281, 0.000) and In at (0.000, 0.500, 0.230).

The total DFT energy (no corrections) is -92.90 eV for the cell shown. As for the formation energy from the elements: -0.295 eV/atom.


# 7
A plane-wave DFT calculation with PBE was carried out for an optimized crystal structure of Tb3Ho3In2.

The space group is Cmcm (No. 63) and the conventional cell measures 5.166, 11.774 and 15.816 Å, with angles of 90.00, 90.00 and 90.00 degrees. The asymmetric unit holds Tb at (0.000, 0.040, 0.104), Tb at (0.000, 0.256, 0.250), Ho at (0.000, 0.358, 0.033), Ho at (0.000, 0.463, 0.750) and In at (0.000, 0.229, 0.641).

The total DFT energy (no corrections) is -137.40 eV for the cell shown. Its energy above the most stable polymorph in this dataset is 110.5 meV/atom. As for the formation energy from the elements: -0.156 eV/atom.


# 8
A plane-wave DFT calculation with PBE was carried out for an optimized crystal structure of TbHo7In2.

The space group is Cmmm (No. 65) and the conventional cell measures 9.099, 15.345 and 5.402 Å, with angles of 90.00, 90.00 and 90.00 degrees. The asymmetric unit holds Tb at (0.000, 0.000, 0.000), Ho at (0.000, 0.228, 0.000), Ho at (0.000, 0.500, 0.500), Ho at (0.181, 0.121, 0.500) and In at (0.000, 0.304, 0.500).

The total DFT energy (no corrections) is -77.21 eV for the cell shown. As for the formation energy from the elements: 0.355 eV/atom.


# 9
A plane-wave DFT calculation with PBE was carried out for an optimized crystal structure of Tb8HoIn2.

The space group is C2/m (No. 12) and the conventional cell measures 8.846, 15.239 and 5.678 Å, with angles of 90.00, 116.52 and 90.00 degrees. The asymmetric unit holds Tb at (0.000, 0.215, 0.000), Tb at (0.094, 0.500, 0.795), Tb at (0.209, 0.115, 0.627), Ho at (0.000, 0.000, 0.000) and In at (0.000, 0.307, 0.500).

The total DFT energy (no corrections) is -95.13 eV for the cell shown. As for the formation energy from the elements: -0.042 eV/atom.


# 10
A plane-wave DFT calculation with PBE was carried out for an optimized crystal structure of Tb6HoIn5.

The space group is Immm (No. 71) and the conventional cell measures 4.974, 8.858 and 15.030 Å, with angles of 90.00, 90.00 and 90.00 degrees. The asymmetric unit holds Tb at (0.000, 0.230, 0.000), Tb at (0.000, 0.262, 0.330), Ho at (0.000, 0.000, 0.500), In at (0.000, 0.000, 0.176), In at (0.000, 0.500, 0.152) and In at (0.000, 0.500, 0.500).

The total DFT energy (no corrections) is -101.46 eV for the cell shown. As for the formation energy from the elements: -0.390 eV/atom.


# 11
A plane-wave DFT calculation with PBE was carried out for an optimized crystal structure of Tb4HoIn2.

The space group is P2_1/c (No. 14) and the conventional cell measures 6.237, 10.747 and 6.897 Å, with angles of 90.00, 112.00 and 90.00 degrees. The asymmetric unit holds Tb at (0.007, 0.165, 0.499), Tb at (0.492, 0.718, 0.498), Ho at (0.000, 0.000, 0.000) and In at (0.470, 0.501, 0.195).

The total DFT energy (no corrections) is -58.68 eV for the cell shown. Its energy above the most stable polymorph in this dataset is 4.2 meV/atom. As for the formation energy from the elements: -0.109 eV/atom.


# 12
A plane-wave DFT calculation with PBE was carried out for an optimized crystal structure of Tb6Ho3In.

The space group is P2_1/m (No. 11) and the conventional cell measures 12.688, 3.516 and 14.954 Å, with angles of 90.00, 109.14 and 90.00 degrees. The asymmetric unit holds Tb at (0.024, 0.250, 0.197), Tb at (0.147, 0.750, 0.403), Tb at (0.218, 0.250, 0.817), Tb at (0.326, 0.250, 0.225), Tb at (0.350, 0.250, 0.617), Tb at (0.379, 0.750, 0.031), Ho at (0.091, 0.750, 0.604), Ho at (0.123, 0.250, 0.006), Ho at (0.400, 0.750, 0.432) and In at (0.434, 0.750, 0.819).

The total DFT energy (no corrections) is -87.99 eV for the cell shown. Its energy above the most stable polymorph in this dataset is 0.0 meV/atom. As for the formation energy from the elements: 0.026 eV/atom.


# 13
A plane-wave DFT calculation with PBE was carried out for an optimized crystal structure of Tb5Ho5In2.

The space group is C2/m (No. 12) and the conventional cell measures 12.052, 5.400 and 11.694 Å, with angles of 90.00, 108.96 and 90.00 degrees. The asymmetric unit holds Tb at (0.000, 0.000, 0.000), Tb at (0.181, 0.000, 0.525), Tb at (0.249, 0.500, 0.750), Ho at (0.000, 0.500, 0.500), Ho at (0.050, 0.500, 0.230), Ho at (0.197, 0.500, 0.037) and In at (0.063, 0.000, 0.730).

The total DFT energy (no corrections) is -105.69 eV for the cell shown. As for the formation energy from the elements: -0.111 eV/atom.


# 14
A plane-wave DFT calculation with PBE was carried out for an optimized crystal structure of TbHo4In3.

The space group is R-3m (No. 166, hexagonal axes) and the conventional cell measures 5.3315, 5.3315 and 27.2879 Å, with angles of 90.00, 90.00 and 120.00 degrees. The asymmetric unit holds Tb at (0.0000, 0.0000, 0.0000), Ho at (0.0000, 0.0000, 0.1292), Ho at (0.0000, 0.0000, 0.3871), In at (0.0000, 0.0000, 0.2642) and In at (0.0000, 0.0000, 0.5000).

The total DFT energy (no corrections) is -100.96 eV for the cell shown. Its energy above the most stable polymorph in this dataset is 0.0 meV/atom. As for the formation energy from the elements: -0.312 eV/atom.


# 15
A plane-wave DFT calculation with PBE was carried out for an optimized crystal structure of Tb8Ho3In.

The space group is I-42m (No. 121) and the conventional cell measures 8.596, 8.596 and 11.295 Å, with angles of 90.00, 90.00 and 90.00 degrees. The asymmetric unit holds Tb at (0.127, 0.127, 0.245), Tb at (0.246, 0.246, 0.982), Ho at (0.000, 0.000, 0.000), Ho at (0.000, 0.500, 0.250) and In at (0.000, 0.000, 0.500).

The total DFT energy (no corrections) is -94.84 eV for the cell shown. As for the formation energy from the elements: 0.508 eV/atom.


# 16
A plane-wave DFT calculation with PBE was carried out for an optimized crystal structure of Tb7Ho2In.

The space group is Cmmm (No. 65) and the conventional cell measures 8.682, 16.115 and 5.351 Å, with angles of 90.00, 90.00 and 90.00 degrees. The asymmetric unit holds Tb at (0.000, 0.000, 0.000), Tb at (0.000, 0.296, 0.500), Tb at (0.177, 0.394, 0.000), Ho at (0.000, 0.208, 0.000) and In at (0.000, 0.500, 0.500).

The total DFT energy (no corrections) is -77.21 eV for the cell shown. As for the formation energy from the elements: 0.570 eV/atom.


# 17
A plane-wave DFT calculation with PBE was carried out for an optimized crystal structure of Tb2Ho5In4.

The space group is P2/m (No. 10) and the conventional cell measures 8.575, 3.426 and 10.490 Å, with angles of 90.00, 96.21 and 90.00 degrees. The asymmetric unit holds Tb at (0.084, 0.000, 0.139), Ho at (0.164, 0.000, 0.645), Ho at (0.464, 0.000, 0.168), Ho at (0.500, 0.000, 0.500), In at (0.199, 0.500, 0.385) and In at (0.249, 0.500, 0.923).

The total DFT energy (no corrections) is -45.71 eV for the cell shown. Its energy above the most stable polymorph in this dataset is 0.0 meV/atom. As for the formation energy from the elements: -0.237 eV/atom.


# 18
A plane-wave DFT calculation with PBE was carried out for an optimized crystal structure of Tb3HoIn2.

The space group is Immm (No. 71) and the conventional cell measures 3.398, 5.670 and 18.700 Å, with angles of 90.00, 90.00 and 90.00 degrees. The asymmetric unit holds Tb at (0.000, 0.000, 0.000), Tb at (0.000, 0.500, 0.185), Ho at (0.000, 0.500, 0.000) and In at (0.000, 0.500, 0.354).

The total DFT energy (no corrections) is -46.73 eV for the cell shown. Its energy above the most stable polymorph in this dataset is 455.5 meV/atom. As for the formation energy from the elements: 0.097 eV/atom.


# 19
A plane-wave DFT calculation with PBE was carried out for an optimized crystal structure of Tb6Ho5In.

The space group is Immm (No. 71) and the conventional cell measures 4.942, 9.897 and 14.981 Å, with angles of 90.00, 90.00 and 90.00 degrees. The asymmetric unit holds Tb at (0.000, 0.245, 0.000), Tb at (0.000, 0.254, 0.334), Ho at (0.000, 0.000, 0.167), Ho at (0.000, 0.000, 0.500), Ho at (0.000, 0.500, 0.164) and In at (0.000, 0.500, 0.500).

The total DFT energy (no corrections) is -108.18 eV for the cell shown. As for the formation energy from the elements: -0.057 eV/atom.


# 20
A plane-wave DFT calculation with PBE was carried out for an optimized crystal structure of Tb4Ho2In.

The space group is Fdd2 (No. 43) and the conventional cell measures 10.157, 21.826 and 7.895 Å, with angles of 90.00, 90.00 and 90.00 degrees. The asymmetric unit holds Tb at (0.013, 0.419, 0.000), Tb at (0.037, 0.115, 0.079), Ho at (0.035, 0.238, 0.423) and In at (0.000, 0.000, 0.845).

The total DFT energy (no corrections) is -245.44 eV for the cell shown. Its energy above the most stable polymorph in this dataset is 40.2 meV/atom. As for the formation energy from the elements: -0.038 eV/atom.


# 21
A plane-wave DFT calculation with PBE was carried out for an optimized crystal structure of TbHo7In4.

The space group is C2/m (No. 12) and the conventional cell measures 14.463, 5.638 and 10.403 Å, with angles of 90.00, 123.79 and 90.00 degrees. The asymmetric unit holds Tb at (0.000, 0.000, 0.000), Ho at (0.000, 0.500, 0.000), Ho at (0.064, 0.000, 0.397), Ho at (0.211, 0.000, 0.877), Ho at (0.221, 0.500, 0.663), In at (0.060, 0.500, 0.756) and In at (0.181, 0.500, 0.335).

The total DFT energy (no corrections) is -97.31 eV for the cell shown. As for the formation energy from the elements: -0.086 eV/atom.